1.
Below is CuOsPb2 after structural relaxation, with properties calculated at the PBE level.

```
data_CuOsPb2
_chemical_formula_sum 'Cu2 Os2 Pb4'
_cell_length_a 7.603
_cell_length_b 7.603
_cell_length_c 6.178
_cell_angle_alpha 52.02
_cell_angle_beta 52.02
_cell_angle_gamma 90.00
_space_group_name_H-M_alt 'P 1'
_space_group_IT_number 1
loop_
_space_group_symop_operation_xyz
'x,y,z'
loop_
_atom_site_label
_atom_site_type_symbol
_atom_site_fract_x
_atom_site_fract_y
_atom_site_fract_z
_atom_site_occupancy
Os1 Os 0.000 0.000 0.000 1
Os2 Os 0.750 0.250 0.500 1
Pb1 Pb 0.375 0.370 0.750 1
Pb2 Pb 0.120 0.625 0.250 1
Pb3 Pb 0.630 0.125 0.250 1
Pb4 Pb 0.875 0.880 0.750 1
Cu1 Cu 0.500 0.500 0.000 1
Cu2 Cu 0.250 0.750 0.500 1
```

The calculation puts the total magnetic moment at 0.00 μB per formula unit. For the calculated formation energy, the calculation gives 1.03 eV per atom.

---

2.
Below is CuOsPb2 after structural relaxation, with properties calculated at the PBE level.

```
data_CuOsPb2
_chemical_formula_sum 'Cu1 Os1 Pb2'
_cell_length_a 3.332
_cell_length_b 3.336
_cell_length_c 7.744
_cell_angle_alpha 75.53
_cell_angle_beta 90.00
_cell_angle_gamma 90.00
_space_group_name_H-M_alt 'P 1'
_space_group_IT_number 1
loop_
_space_group_symop_operation_xyz
'x,y,z'
loop_
_atom_site_label
_atom_site_type_symbol
_atom_site_fract_x
_atom_site_fract_y
_atom_site_fract_z
_atom_site_occupancy
Os1 Os 0.500 0.750 0.750 1
Pb1 Pb 0.000 0.400 0.519 1
Pb2 Pb 0.000 0.100 0.981 1
Cu1 Cu 0.500 0.250 0.250 1
```

The calculation puts the total magnetic moment at 0.00 μB per formula unit. For the calculated formation energy, the calculation gives 0.73 eV per atom.

---

3.
Below is CuOs2Pb after structural relaxation, with properties calculated at the PBE level.

```
data_CuOs2Pb
_chemical_formula_sum 'Cu1 Os2 Pb1'
_cell_length_a 3.165
_cell_length_b 3.165
_cell_length_c 6.483
_cell_angle_alpha 90.00
_cell_angle_beta 90.00
_cell_angle_gamma 90.00
_space_group_name_H-M_alt 'P 1'
_space_group_IT_number 1
loop_
_space_group_symop_operation_xyz
'x,y,z'
loop_
_atom_site_label
_atom_site_type_symbol
_atom_site_fract_x
_atom_site_fract_y
_atom_site_fract_z
_atom_site_occupancy
Os1 Os 0.000 0.000 0.955 1
Os2 Os 0.000 0.000 0.545 1
Pb1 Pb 0.500 0.500 0.250 1
Cu1 Cu 0.500 0.500 0.750 1
```

The calculation puts the total magnetic moment at 0.00 μB per formula unit. For the calculated formation energy, the calculation gives 0.96 eV per atom.

---

4.
Below is CuOs2Pb after structural relaxation, with properties calculated at the PBE level.

```
data_CuOs2Pb
_chemical_formula_sum 'Cu1 Os2 Pb1'
_cell_length_a 2.820
_cell_length_b 2.820
_cell_length_c 9.810
_cell_angle_alpha 90.00
_cell_angle_beta 90.00
_cell_angle_gamma 118.39
_space_group_name_H-M_alt 'P 1'
_space_group_IT_number 1
loop_
_space_group_symop_operation_xyz
'x,y,z'
loop_
_atom_site_label
_atom_site_type_symbol
_atom_site_fract_x
_atom_site_fract_y
_atom_site_fract_z
_atom_site_occupancy
Cu1 Cu 0.500 0.500 0.750 1
Os1 Os 0.000 0.000 0.966 1
Os2 Os 0.000 0.000 0.534 1
Pb1 Pb 0.500 0.500 0.250 1
```

The calculation puts the total magnetic moment at 0.00 μB per formula unit. For the calculated formation energy, the calculation gives 1.11 eV per atom.

---

5.
Below is CuOsPb2 after structural relaxation, with properties calculated at the PBE level.

```
data_CuOsPb2
_chemical_formula_sum 'Cu1 Os1 Pb2'
_cell_length_a 6.746
_cell_length_b 6.746
_cell_length_c 4.557
_cell_angle_alpha 70.26
_cell_angle_beta 70.26
_cell_angle_gamma 26.87
_space_group_name_H-M_alt 'P 1'
_space_group_IT_number 1
loop_
_space_group_symop_operation_xyz
'x,y,z'
loop_
_atom_site_label
_atom_site_type_symbol
_atom_site_fract_x
_atom_site_fract_y
_atom_site_fract_z
_atom_site_occupancy
Pb1 Pb 0.739 0.739 0.761 1
Pb2 Pb 0.957 0.957 0.043 1
Cu1 Cu 0.567 0.567 0.433 1
Os1 Os 0.237 0.237 0.263 1
```

The calculation puts the total magnetic moment at 0.00 μB per formula unit. For the calculated formation energy, the calculation gives 0.66 eV per atom.

---

6.
Below is Cu3OsPb after structural relaxation, with properties calculated at the PBE level.

```
data_Cu3OsPb
_chemical_formula_sum 'Cu3 Os1 Pb1'
_cell_length_a 4.702
_cell_length_b 4.702
_cell_length_c 4.702
_cell_angle_alpha 90.00
_cell_angle_beta 90.00
_cell_angle_gamma 90.00
_space_group_name_H-M_alt 'P 1'
_space_group_IT_number 1
loop_
_space_group_symop_operation_xyz
'x,y,z'
loop_
_atom_site_label
_atom_site_type_symbol
_atom_site_fract_x
_atom_site_fract_y
_atom_site_fract_z
_atom_site_occupancy
Cu1 Cu 0.500 0.000 0.000 1
Cu2 Cu 0.000 0.000 0.500 1
Cu3 Cu 0.000 0.500 0.000 1
Pb1 Pb 0.500 0.500 0.500 1
Os1 Os 0.000 0.000 0.000 1
```

The calculation puts the total magnetic moment at 0.00 μB per formula unit. For the calculated formation energy, the calculation gives 1.07 eV per atom.

---

7.
Below is CuOs2Pb after structural relaxation, with properties calculated at the PBE level.

```
data_CuOs2Pb
_chemical_formula_sum 'Cu1 Os2 Pb1'
_cell_length_a 4.413
_cell_length_b 4.413
_cell_length_c 6.022
_cell_angle_alpha 80.65
_cell_angle_beta 80.65
_cell_angle_gamma 38.44
_space_group_name_H-M_alt 'P 1'
_space_group_IT_number 1
loop_
_space_group_symop_operation_xyz
'x,y,z'
loop_
_atom_site_label
_atom_site_type_symbol
_atom_site_fract_x
_atom_site_fract_y
_atom_site_fract_z
_atom_site_occupancy
Cu1 Cu 0.256 0.256 0.202 1
Os1 Os 0.748 0.748 0.826 1
Os2 Os 0.999 0.999 0.986 1
Pb1 Pb 0.497 0.497 0.486 1
```

The calculation puts the total magnetic moment at 0.00 μB per formula unit. For the calculated formation energy, the calculation gives 0.73 eV per atom.

---

8.
Below is CuOs2Pb after structural relaxation, with properties calculated at the PBE level.

```
data_CuOs2Pb
_chemical_formula_sum 'Cu1 Os2 Pb1'
_cell_length_a 2.918
_cell_length_b 4.791
_cell_length_c 4.681
_cell_angle_alpha 90.00
_cell_angle_beta 90.00
_cell_angle_gamma 90.00
_space_group_name_H-M_alt 'P 1'
_space_group_IT_number 1
loop_
_space_group_symop_operation_xyz
'x,y,z'
loop_
_atom_site_label
_atom_site_type_symbol
_atom_site_fract_x
_atom_site_fract_y
_atom_site_fract_z
_atom_site_occupancy
Pb1 Pb 0.500 0.000 0.500 1
Os1 Os 0.500 0.500 0.000 1
Os2 Os 0.000 0.000 0.000 1
Cu1 Cu 0.000 0.500 0.500 1
```

The calculation puts the total magnetic moment at 0.00 μB per formula unit. For the calculated formation energy, the calculation gives 0.92 eV per atom.

---

9.
Below is CuOs2Pb after structural relaxation, with properties calculated at the PBE level.

```
data_CuOs2Pb
_chemical_formula_sum 'Cu2 Os4 Pb2'
_cell_length_a 4.022
_cell_length_b 4.022
_cell_length_c 9.734
_cell_angle_alpha 78.08
_cell_angle_beta 78.08
_cell_angle_gamma 90.00
_space_group_name_H-M_alt 'P 1'
_space_group_IT_number 1
loop_
_space_group_symop_operation_xyz
'x,y,z'
loop_
_atom_site_label
_atom_site_type_symbol
_atom_site_fract_x
_atom_site_fract_y
_atom_site_fract_z
_atom_site_occupancy
Os1 Os 0.375 0.466 0.750 1
Os2 Os 0.875 0.784 0.750 1
Os3 Os 0.534 0.125 0.250 1
Os4 Os 0.216 0.625 0.250 1
Cu1 Cu 0.500 0.500 0.000 1
Cu2 Cu 0.250 0.750 0.500 1
Pb1 Pb 0.000 0.000 0.000 1
Pb2 Pb 0.750 0.250 0.500 1
```

The calculation puts the total magnetic moment at 0.00 μB per formula unit. For the calculated formation energy, the calculation gives 0.87 eV per atom.

---

10.
Below is CuOs2Pb after structural relaxation, with properties calculated at the PBE level.

```
data_CuOs2Pb
_chemical_formula_sum 'Cu1 Os2 Pb1'
_cell_length_a 4.865
_cell_length_b 4.865
_cell_length_c 3.043
_cell_angle_alpha 90.00
_cell_angle_beta 90.00
_cell_angle_gamma 113.75
_space_group_name_H-M_alt 'P 1'
_space_group_IT_number 1
loop_
_space_group_symop_operation_xyz
'x,y,z'
loop_
_atom_site_label
_atom_site_type_symbol
_atom_site_fract_x
_atom_site_fract_y
_atom_site_fract_z
_atom_site_occupancy
Os1 Os 0.000 0.000 0.000 1
Os2 Os 0.500 0.500 0.000 1
Cu1 Cu 0.000 0.500 0.500 1
Pb1 Pb 0.500 0.000 0.500 1
```

The calculation puts the total magnetic moment at 0.00 μB per formula unit. For the calculated formation energy, the calculation gives 1.05 eV per atom.

---

Which formula does entry 8 have?
CuOs2Pb

---

Which of these has the highest calculated formation energy?
number 4

---

What did the first record say?
Below is CuOsPb2 after structural relaxation, with properties calculated at the PBE level.

```
data_CuOsPb2
_chemical_formula_sum 'Cu2 Os2 Pb4'
_cell_length_a 7.603
_cell_length_b 7.603
_cell_length_c 6.178
_cell_angle_alpha 52.02
_cell_angle_beta 52.02
_cell_angle_gamma 90.00
_space_group_name_H-M_alt 'P 1'
_space_group_IT_number 1
loop_
_space_group_symop_operation_xyz
'x,y,z'
loop_
_atom_site_label
_atom_site_type_symbol
_atom_site_fract_x
_atom_site_fract_y
_atom_site_fract_z
_atom_site_occupancy
Os1 Os 0.000 0.000 0.000 1
Os2 Os 0.750 0.250 0.500 1
Pb1 Pb 0.375 0.370 0.750 1
Pb2 Pb 0.120 0.625 0.250 1
Pb3 Pb 0.630 0.125 0.250 1
Pb4 Pb 0.875 0.880 0.750 1
Cu1 Cu 0.500 0.500 0.000 1
Cu2 Cu 0.250 0.750 0.500 1
```

The calculation puts the total magnetic moment at 0.00 μB per formula unit. For the calculated formation energy, the calculation gives 1.03 eV per atom.